No. 1
Computed, not measured: a geometry-optimized TeAu2Cl structure at the PBE level of DFT.

Cell and atoms, written as POSCAR:
```
TeAu2Cl
1.0
-4.924 3.529 1.431
-3.738 -4.927 -0.713
-3.601 -2.125 6.387
Te Au Cl
2 4 2
direct
0.000 0.000 0.000 Te
0.750 0.250 0.500 Te
0.641 0.125 0.250 Au
0.109 0.625 0.250 Au
0.375 0.359 0.750 Au
0.875 0.891 0.750 Au
0.500 0.500 0.000 Cl
0.250 0.750 0.500 Cl
```

Properties
Energy above the lowest structure with this stoichiometry ... 81.4 meV/atom
Energy relative to the elements, uncorrected ... 18 meV per atom
Raw total energy ... -2.868 eV per atom
N(E_F) ... 8.1 states/eV per cell

***

No. 2
Computed, not measured: a geometry-optimized TeAuCl2 structure at the PBE level of DFT.

Cell and atoms, written as POSCAR:
```
TeAuCl2
1.0
4.959 0.000 0.000
2.480 4.295 0.000
2.480 1.432 4.049
Te Au Cl
1 1 2
direct
0.750 0.750 0.750 Te
0.500 0.500 0.500 Au
0.000 0.000 0.000 Cl
0.250 0.250 0.250 Cl
```

Properties
Energy above the lowest structure with this stoichiometry ... 515.1 meV/atom
Energy relative to the elements, uncorrected ... 283 meV per atom
Raw total energy ... -2.245 eV per atom
N(E_F) ... 4.4 states/eV per cell

***

No. 3
Computed, not measured: a geometry-optimized TeAuCl structure at the PBE level of DFT.

Cell and atoms, written as POSCAR:
```
TeAuCl
1.0
-5.845 -2.258 0.167
-1.646 -6.041 0.310
3.773 4.286 2.585
Au Cl Te
1 1 1
direct
0.083 0.083 0.000 Au
0.348 0.348 0.000 Cl
0.569 0.569 0.000 Te
```

Properties
Energy relative to the elements, uncorrected ... -77 meV per atom
Raw total energy ... -2.832 eV per atom
N(E_F) ... 1.1 states/eV per cell

***

No. 4
Computed, not measured: a geometry-optimized TeAu2Cl structure at the PBE level of DFT.

Cell and atoms, written as POSCAR:
```
TeAu2Cl
1.0
4.874 0.031 0.000
-1.643 4.589 0.000
0.000 0.000 3.969
Au Cl Te
2 1 1
direct
0.000 0.000 0.000 Au
0.500 0.500 0.000 Au
0.500 0.000 0.500 Cl
0.000 0.500 0.500 Te
```

Properties
Energy above the lowest structure with this stoichiometry ... 298.1 meV/atom
Energy relative to the elements, uncorrected ... 234 meV per atom
Raw total energy ... -2.651 eV per atom
N(E_F) ... 1.4 states/eV per cell

***

No. 5
Computed, not measured: a geometry-optimized TeAu2Cl8 structure at the PBE level of DFT.

Cell and atoms, written as POSCAR:
```
TeAu2Cl8
1.0
8.089 -0.560 1.059
-0.105 5.883 3.028
0.519 0.660 8.319
Te Au Cl
1 2 8
direct
0.000 0.000 0.000 Te
0.356 0.792 0.729 Au
0.644 0.208 0.271 Au
0.984 0.894 0.334 Cl
0.190 0.402 0.868 Cl
0.016 0.106 0.666 Cl
0.545 0.190 0.562 Cl
0.810 0.598 0.132 Cl
0.270 0.775 0.023 Cl
0.730 0.225 0.977 Cl
0.455 0.810 0.438 Cl
```

Properties
Energy above the lowest structure with this stoichiometry ... 0.0 meV/atom
Energy relative to the elements, uncorrected ... -350 meV per atom
Raw total energy ... -2.574 eV per atom
N(E_F) ... 0.2 states/eV per cell

***

No. 6
Computed, not measured: a geometry-optimized TeAu2Cl structure at the PBE level of DFT.

Cell and atoms, written as POSCAR:
```
TeAu2Cl
1.0
3.919 0.005 0.000
-2.109 3.304 0.000
0.000 0.000 7.848
Au Cl Te
2 1 1
direct
0.000 0.000 0.003 Au
0.000 0.000 0.497 Au
0.500 0.500 0.250 Cl
0.500 0.500 0.750 Te
```

Properties
Energy above the lowest structure with this stoichiometry ... 174.8 meV/atom
Energy relative to the elements, uncorrected ... 111 meV per atom
Raw total energy ... -2.775 eV per atom
N(E_F) ... 1.8 states/eV per cell

***

No. 7
Computed, not measured: a geometry-optimized TeAuCl2 structure at the PBE level of DFT.

Cell and atoms, written as POSCAR:
```
TeAuCl2
1.0
-2.791 -2.453 8.396
-3.086 -5.576 6.609
0.103 -4.566 7.965
Te Au Cl
1 1 2
direct
0.000 0.000 0.000 Te
0.500 0.500 0.500 Au
0.902 0.902 0.902 Cl
0.098 0.098 0.098 Cl
```

Properties
Energy above the lowest structure with this stoichiometry ... 281.4 meV/atom
Energy relative to the elements, uncorrected ... 49 meV per atom
Raw total energy ... -2.479 eV per atom
N(E_F) ... 1.9 states/eV per cell

***

No. 8
Computed, not measured: a geometry-optimized TeAuCl2 structure at the PBE level of DFT.

Cell and atoms, written as POSCAR:
```
TeAuCl2
1.0
-3.648 -2.703 -1.160
-1.694 -3.933 1.903
-5.057 3.649 4.692
Te Au Cl
1 1 2
direct
0.598 0.598 0.442 Te
0.268 0.268 0.262 Au
0.913 0.913 0.094 Cl
0.721 0.721 0.702 Cl
```

Properties
Energy above the lowest structure with this stoichiometry ... 4.1 meV/atom
Energy relative to the elements, uncorrected ... -228 meV per atom
Raw total energy ... -2.756 eV per atom
N(E_F) ... 2.6 states/eV per cell

***

No. 9
Computed, not measured: a geometry-optimized TeAu2Cl structure at the PBE level of DFT.

Cell and atoms, written as POSCAR:
```
TeAu2Cl
1.0
4.879 -0.056 0.000
-1.631 4.598 0.000
-1.624 -2.271 4.001
Au Cl Te
2 1 1
direct
0.000 0.000 0.000 Au
0.500 0.500 0.000 Au
0.250 0.750 0.500 Cl
0.750 0.250 0.500 Te
```

Properties
Energy above the lowest structure with this stoichiometry ... 308.2 meV/atom
Energy relative to the elements, uncorrected ... 244 meV per atom
Raw total energy ... -2.641 eV per atom
N(E_F) ... 2.0 states/eV per cell

***

No. 10
Computed, not measured: a geometry-optimized TeAuCl2 structure at the PBE level of DFT.

Cell and atoms, written as POSCAR:
```
TeAuCl2
1.0
-0.040 -4.456 -0.042
2.783 0.008 -3.503
3.503 -0.058 2.783
Te Au Cl
1 1 2
direct
0.500 0.500 0.000 Te
0.500 0.000 0.500 Au
0.000 0.000 0.000 Cl
0.000 0.500 0.500 Cl
```

Properties
Energy above the lowest structure with this stoichiometry ... 644.2 meV/atom
Energy relative to the elements, uncorrected ... 412 meV per atom
Raw total energy ... -2.116 eV per atom
N(E_F) ... 3.6 states/eV per cell

***

No. 11
Computed, not measured: a geometry-optimized Te5AuCl2 structure at the PBE level of DFT.

Cell and atoms, written as POSCAR:
```
Te5AuCl2
1.0
7.581 0.000 0.000
0.000 6.457 -1.199
-3.790 -4.243 7.402
Te Au Cl
5 1 2
direct
0.709 0.297 0.056 Te
0.347 0.297 0.056 Te
0.698 0.774 0.917 Te
0.219 0.774 0.917 Te
0.609 0.859 0.219 Te
0.094 0.921 0.188 Au
0.264 0.089 0.528 Cl
0.837 0.767 0.674 Cl
```

Properties
Energy relative to the elements, uncorrected ... -73 meV per atom
Raw total energy ... -2.908 eV per atom
N(E_F) ... 3.2 states/eV per cell

***

No. 12
Computed, not measured: a geometry-optimized TeAuCl2 structure at the PBE level of DFT.

Cell and atoms, written as POSCAR:
```
TeAuCl2
1.0
-1.016 3.661 -0.133
-3.251 -0.924 -0.609
0.724 0.530 9.090
Te Au Cl
1 1 2
direct
0.000 0.552 0.530 Te
0.500 0.712 0.744 Au
0.000 0.850 0.927 Cl
0.500 0.385 0.300 Cl
```

Properties
Energy above the lowest structure with this stoichiometry ... 0.0 meV/atom
Energy relative to the elements, uncorrected ... -232 meV per atom
Raw total energy ... -2.760 eV per atom
N(E_F) ... 2.2 states/eV per cell

***

No. 13
Computed, not measured: a geometry-optimized TeAuCl2 structure at the PBE level of DFT.

Cell and atoms, written as POSCAR:
```
TeAuCl2
1.0
-0.069 -0.576 -3.149
6.560 -0.043 -0.137
-0.012 -4.498 0.823
Te Au Cl
1 1 2
direct
0.500 0.000 0.500 Te
0.000 0.500 0.500 Au
0.000 0.000 0.000 Cl
0.500 0.500 0.000 Cl
```

Properties
Energy above the lowest structure with this stoichiometry ... 419.9 meV/atom
Energy relative to the elements, uncorrected ... 188 meV per atom
Raw total energy ... -2.340 eV per atom
N(E_F) ... 2.7 states/eV per cell

***

No. 14
Computed, not measured: a geometry-optimized TeAuCl2 structure at the PBE level of DFT.

Cell and atoms, written as POSCAR:
```
TeAuCl2
1.0
1.982 0.000 9.485
-0.991 1.717 9.485
-0.991 -1.717 9.485
Te Au Cl
1 1 2
direct
0.500 0.500 0.500 Te
0.000 0.000 0.000 Au
0.918 0.918 0.918 Cl
0.082 0.082 0.082 Cl
```

Properties
Energy above the lowest structure with this stoichiometry ... 297.6 meV/atom
Energy relative to the elements, uncorrected ... 66 meV per atom
Raw total energy ... -2.463 eV per atom
N(E_F) ... 2.6 states/eV per cell

***

No. 15
Computed, not measured: a geometry-optimized TeAuCl structure at the PBE level of DFT.

Cell and atoms, written as POSCAR:
```
TeAuCl
1.0
4.837 0.000 0.000
2.419 4.189 0.000
2.419 1.396 3.950
Au Cl Te
1 1 1
direct
0.000 0.000 0.000 Au
0.500 0.500 0.500 Cl
0.750 0.750 0.750 Te
```

Properties
Energy relative to the elements, uncorrected ... 297 meV per atom
Raw total energy ... -2.459 eV per atom
N(E_F) ... 3.9 states/eV per cell

***

No. 16
Computed, not measured: a geometry-optimized TeAu4Cl structure at the PBE level of DFT.

Cell and atoms, written as POSCAR:
```
TeAu4Cl
1.0
0.000 3.990 3.990
3.990 0.000 3.990
3.990 3.990 0.000
Te Au Cl
1 4 1
direct
0.000 0.000 0.000 Te
0.875 0.375 0.375 Au
0.375 0.375 0.875 Au
0.375 0.875 0.375 Au
0.375 0.375 0.375 Au
0.750 0.750 0.750 Cl
```

Properties
Energy relative to the elements, uncorrected ... 224 meV per atom
Raw total energy ... -2.792 eV per atom
N(E_F) ... 6.8 states/eV per cell

***

No. 17
Computed, not measured: a geometry-optimized TeAuCl2 structure at the PBE level of DFT.

Cell and atoms, written as POSCAR:
```
TeAuCl2
1.0
-4.905 0.750 2.361
-3.776 -3.236 -2.338
4.992 -1.014 2.060
Te Au Cl
1 1 2
direct
0.250 0.750 0.500 Te
0.750 0.250 0.500 Au
0.000 0.000 0.000 Cl
0.500 0.500 0.000 Cl
```

Properties
Energy above the lowest structure with this stoichiometry ... 629.7 meV/atom
Energy relative to the elements, uncorrected ... 398 meV per atom
Raw total energy ... -2.130 eV per atom
N(E_F) ... 2.7 states/eV per cell

***

No. 18
Computed, not measured: a geometry-optimized TeAu2Cl structure at the PBE level of DFT.

Cell and atoms, written as POSCAR:
```
TeAu2Cl
1.0
7.184 -0.020 -0.012
6.065 3.850 -0.012
6.065 1.753 3.428
Au Cl Te
2 1 1
direct
0.005 0.005 0.005 Au
0.495 0.495 0.495 Au
0.250 0.250 0.250 Cl
0.750 0.750 0.750 Te
```

Properties
Energy above the lowest structure with this stoichiometry ... 66.2 meV/atom
Energy relative to the elements, uncorrected ... 2 meV per atom
Raw total energy ... -2.883 eV per atom
N(E_F) ... 2.4 states/eV per cell

***

No. 19
Computed, not measured: a geometry-optimized TeAuCl2 structure at the PBE level of DFT.

Cell and atoms, written as POSCAR:
```
TeAuCl2
1.0
-4.887 -5.182 3.277
5.101 -1.112 5.850
-1.215 -0.902 6.143
Te Au Cl
2 2 4
direct
0.500 0.500 0.000 Te
0.250 0.750 0.500 Te
0.000 0.000 0.000 Au
0.750 0.250 0.500 Au
0.664 0.125 0.250 Cl
0.086 0.625 0.250 Cl
0.375 0.336 0.750 Cl
0.875 0.914 0.750 Cl
```

Properties
Energy above the lowest structure with this stoichiometry ... 479.8 meV/atom
Energy relative to the elements, uncorrected ... 248 meV per atom
Raw total energy ... -2.280 eV per atom
N(E_F) ... 6.6 states/eV per cell

***

No. 20
Computed, not measured: a geometry-optimized TeAuCl structure at the PBE level of DFT.

Cell and atoms, written as POSCAR:
```
TeAuCl
1.0
-2.867 -2.866 0.139
1.917 1.118 3.395
-3.809 3.853 0.882
Au Cl Te
1 1 1
direct
0.000 0.000 0.982 Au
0.667 0.333 0.288 Cl
0.333 0.667 0.730 Te
```

Properties
Energy relative to the elements, uncorrected ... -18 meV per atom
Raw total energy ... -2.773 eV per atom
N(E_F) ... 2.6 states/eV per cell